Entry 1:
Material: ErGaPb2S5
Method: DFT, PBE
State: relaxed

Properties
V: 885 Å³ per cell
Fermi-level density of states: 0.00 states/eV/f.u.
uncorrected energy: -4.97 eV per atom
formation energy from raw total energies: -96.9 kJ per mole of atoms
total magnetic moment: 0.0000 μB per atom

Cell lengths 3.904, 17.730, 12.791 Å; angles 90.00, 90.00, 90.00 degrees
Space group Cmc2_1 (No. 36)
Symmetry-distinct sites (fractional):
Er 0.000 0.199 0.000 (multiplicity 4)
Ga 0.000 0.446 0.399 (multiplicity 4)
Pb 0.000 0.123 0.297 (multiplicity 4)
Pb 0.000 0.132 0.642 (multiplicity 4)
S 0.000 0.040 0.003 (multiplicity 4)
S 0.000 0.295 0.646 (multiplicity 4)
S 0.000 0.319 0.353 (multiplicity 4)
S 0.000 0.350 0.987 (multiplicity 4)
S 0.000 0.489 0.749 (multiplicity 4)



Entry 2:
Material: Pm2Nd2YHo
Method: DFT, PBE
State: relaxed

Properties
V: 403 Å³ per cell
formation enthalpy at 0 K: 0.054 eV per atom
Fermi-level density of states: 9.03 states/eV/f.u.
uncorrected energy: -4.96 eV per atom
total magnetic moment: 0.0000 μB per atom

Cell lengths 7.107, 5.717, 9.919 Å; angles 90.00, 90.00, 90.00 degrees
Space group Pmma (No. 51)
Symmetry-distinct sites (fractional):
Pm 0.250 0.000 0.162 (multiplicity 2)
Pm 0.250 0.500 0.670 (multiplicity 2)
Nd 0.000 0.500 0.000 (multiplicity 2)
Nd 0.250 0.000 0.824 (multiplicity 2)
Y 0.000 0.000 0.500 (multiplicity 2)
Ho 0.250 0.500 0.341 (multiplicity 2)



Entry 3:
Material: Sc3TeO
Method: DFT, PBE
State: relaxed

Properties
polymorph energy (0 for the lowest one): 0.55 eV/f.u.
V: 88 Å³ per cell
Fermi-level density of states: 4.50 states/eV/f.u.
uncorrected energy: -6.79 eV per atom
formation energy from raw total energies: -132.8 kJ per mole of atoms
total magnetic moment: 0.0000 μB per atom

Cell lengths 4.456, 4.456, 4.456 Å; angles 90.00, 90.00, 90.00 degrees
Space group Pm-3m (No. 221)
Symmetry-distinct sites (fractional):
Sc 0.000 0.000 0.500 (multiplicity 3)
Te 0.500 0.500 0.500 (multiplicity 1)
O 0.000 0.000 0.000 (multiplicity 1)



Entry 4:
Material: Rb2Ba2TaO6
Method: DFT, PBE
State: relaxed

Properties
V: 485 Å³ per cell
Fermi-level density of states: 7.17 states/eV/f.u.
uncorrected energy: -6.55 eV per atom
formation energy from raw total energies: -216.5 kJ per mole of atoms
total magnetic moment: 0.0999 μB per atom

Cell lengths 6.578, 11.057, 6.915 Å; angles 90.00, 105.46, 90.00 degrees
Space group C2/m (No. 12)
Symmetry-distinct sites (fractional):
Rb 0.000 0.157 0.000 (multiplicity 4)
Ba 0.000 0.339 0.500 (multiplicity 4)
Ta 0.000 0.000 0.500 (multiplicity 2)
O 0.175 0.133 0.668 (multiplicity 8)
O 0.203 0.000 0.324 (multiplicity 4)



Entry 5:
Material: La3Nd7Er
Method: DFT, PBE
State: relaxed

Properties
polymorph energy (0 for the lowest one): 0.00 eV/f.u.
V: 806 Å³ per cell
formation enthalpy at 0 K: 0.217 eV per atom
Fermi-level density of states: 16.45 states/eV/f.u.
uncorrected energy: -4.58 eV per atom
total magnetic moment: 0.0000 μB per atom

Cell lengths 11.883, 10.356, 6.568 Å; angles 90.00, 94.07, 90.00 degrees
Space group C2/m (No. 12)
Symmetry-distinct sites (fractional):
La 0.000 0.000 0.000 (multiplicity 2)
La 0.000 0.174 0.500 (multiplicity 4)
Nd 0.000 0.500 0.500 (multiplicity 2)
Nd 0.240 0.000 0.714 (multiplicity 4)
Nd 0.240 0.329 0.762 (multiplicity 8)
Er 0.000 0.500 0.000 (multiplicity 2)



Entry 6:
Material: TmTh2ScSb4
Method: DFT, PBE
State: relaxed

Properties
V: 238 Å³ per cell
Fermi-level density of states: 4.19 states/eV/f.u.
uncorrected energy: -6.21 eV per atom
formation energy from raw total energies: -91.4 kJ per mole of atoms
total magnetic moment: 0.0000 μB per atom

Cell lengths 7.527, 4.406, 7.630 Å; angles 90.00, 109.81, 90.00 degrees
Space group P2/m (No. 10)
Symmetry-distinct sites (fractional):
Tm 0.000 0.000 0.000 (multiplicity 1)
Th 0.500 0.000 0.500 (multiplicity 1)
Th 0.500 0.500 0.000 (multiplicity 1)
Sc 0.000 0.500 0.500 (multiplicity 1)
Sb 0.230 0.000 0.739 (multiplicity 2)
Sb 0.233 0.500 0.249 (multiplicity 2)



Entry 7:
Material: PmPuCuPd
Method: DFT, PBE
State: relaxed

Properties
V: 358 Å³ per cell
formation enthalpy at 0 K: -0.269 eV per atom
Fermi-level density of states: 12.36 states/eV/f.u.
uncorrected energy: -7.36 eV per atom
total magnetic moment: 1.4455 μB per atom

Cell lengths 7.103, 7.103, 7.103 Å; angles 90.00, 90.00, 90.00 degrees
Space group F-43m (No. 216)
Symmetry-distinct sites (fractional):
Pm 0.000 0.000 0.000 (multiplicity 4)
Pu 0.000 0.000 0.500 (multiplicity 4)
Cu 0.250 0.250 0.750 (multiplicity 4)
Pd 0.250 0.250 0.250 (multiplicity 4)



Entry 8:
Material: Sc2NiP
Method: DFT, PBE
State: relaxed

Properties
V: 132 Å³ per cell
formation enthalpy at 0 K: -0.706 eV per atom
Fermi-level density of states: 2.66 states/eV/f.u.
uncorrected energy: -6.67 eV per atom
total magnetic moment: 0.0000 μB per atom

Cell lengths 3.714, 3.714, 9.557 Å; angles 90.00, 90.00, 90.00 degrees
Space group I-4m2 (No. 119)
Symmetry-distinct sites (fractional):
Sc 0.000 0.000 0.000 (multiplicity 2)
Sc 0.000 0.500 0.250 (multiplicity 2)
Ni 0.000 0.500 0.750 (multiplicity 2)
P 0.000 0.000 0.500 (multiplicity 2)